The following is a DFT calculation (SCAN) of a PBEsol-optimized structure of IrSeBr.

Cell: 4.439 4.439 4.439 Å, 60.00 60.00 60.00°
Atoms (fractional coordinates):
1 Ir 0.500 0.500 0.500
2 Br 0.000 0.000 0.000
3 Se 0.250 0.250 0.250

Values from the calculation:
- Energy relative to the elements, uncorrected: 1.420 eV per atom
- Total DFT energy (no corrections): -35.46 eV per atom
- Total magnetization: 0.00 μB per atom

---

The following is a DFT calculation (SCAN) of a PBEsol-optimized structure of Ir2Se9Br6.

Cell: 12.437 12.437 15.141 Å, 114.25 114.25 90.00°
Atoms (fractional coordinates):
1 Br 0.166 0.225 0.069
2 Br 0.380 0.481 0.170
3 Se 0.185 0.057 0.302
4 Se 0.672 0.919 0.500
5 Br 0.566 0.415 0.388
6 Br 0.684 0.335 0.112
7 Se 0.422 0.169 0.000
8 Se 0.296 0.152 0.590
9 Se 0.065 0.693 0.198
10 Se 0.022 0.998 0.331
11 Se 0.890 0.390 0.781
12 Br 0.027 0.434 0.612
13 Br 0.585 0.177 0.612
14 Br 0.939 0.130 0.670
15 Br 0.084 0.525 0.431
16 Se 0.828 0.581 0.500
17 Br 0.731 0.539 0.670
18 Ir 0.160 0.411 0.037
19 Br 0.475 0.653 0.569
20 Se 0.583 0.772 0.831
21 Ir 0.090 0.339 0.463
22 Se 0.117 0.245 0.302
23 Br 0.347 0.906 0.431
24 Br 0.903 0.844 0.069
25 Ir 0.373 0.840 0.963
26 Se 0.419 0.328 0.500
27 Br 0.311 0.620 0.830
28 Se 0.293 0.438 0.590
29 Br 0.223 0.316 0.888
30 Se 0.640 0.640 0.281
31 Br 0.427 0.777 0.112
32 Ir 0.589 0.123 0.963
33 Se 0.688 0.046 0.090
34 Br 0.519 0.211 0.830
35 Se 0.610 0.110 0.219
36 Br 0.823 0.973 0.388
37 Ir 0.877 0.910 0.537
38 Br 0.156 0.834 0.931
39 Ir 0.877 0.627 0.037
40 Se 0.562 0.704 0.410
41 Se 0.755 0.815 0.698
42 Se 0.831 0.422 0.000
43 Se 0.941 0.417 0.169
44 Br 0.094 0.916 0.569
45 Se 0.133 0.505 0.198
46 Se 0.402 0.043 0.090
47 Se 0.667 0.978 0.669
48 Se 0.002 0.691 0.669
49 Se 0.495 0.935 0.802
50 Ir 0.661 0.627 0.537
51 Se 0.248 0.059 0.831
52 Se 0.309 0.333 0.331
53 Br 0.775 0.097 0.931
54 Se 0.360 0.360 0.719
55 Br 0.789 0.689 0.170
56 Se 0.848 0.707 0.410
57 Br 0.461 0.061 0.330
58 Br 0.665 0.573 0.888
59 Se 0.081 0.172 0.500
60 Se 0.957 0.312 0.910
61 Se 0.228 0.752 0.169
62 Se 0.578 0.831 0.000
63 Se 0.169 0.578 0.000
64 Se 0.943 0.883 0.698
65 Se 0.307 0.867 0.802
66 Se 0.954 0.598 0.910
67 Ir 0.373 0.123 0.463
68 Br 0.870 0.269 0.330

Values from the calculation:
- Energy relative to the elements, uncorrected: -0.270 eV per atom
- Total DFT energy (no corrections): -26.13 eV per atom
- Total magnetization: 0.00 μB per atom

---

The following is a DFT calculation (SCAN) of a PBEsol-optimized structure of IrSe3Br9.

Cell: 8.422 13.316 14.285 Å, 90.00 94.00 90.00°
Atoms (fractional coordinates):
1 Ir 0.567 0.750 0.855
2 Br 0.206 0.497 0.463
3 Br 0.243 0.896 0.571
4 Se 0.229 0.672 0.481
5 Se 0.771 0.328 0.519
6 Br 0.162 0.491 0.156
7 Se 0.905 0.810 0.218
8 Br 0.132 0.689 0.748
9 Se 0.271 0.172 0.019
10 Br 0.238 0.252 0.268
11 Se 0.623 0.586 0.915
12 Br 0.561 0.097 0.221
13 Br 0.868 0.311 0.252
14 Br 0.294 0.997 0.037
15 Br 0.001 0.803 0.954
16 Br 0.547 0.485 0.290
17 Br 0.133 0.255 0.522
18 Br 0.632 0.811 0.248
19 Br 0.439 0.903 0.779
20 Se 0.877 0.086 0.585
21 Br 0.262 0.752 0.232
22 Br 0.939 0.597 0.279
23 Br 0.738 0.248 0.768
24 Br 0.794 0.503 0.537
25 Br 0.257 0.396 0.929
26 Br 0.453 0.515 0.710
27 Br 0.501 0.697 0.454
28 Br 0.367 0.755 0.978
29 Br 0.706 0.003 0.963
30 Br 0.838 0.509 0.844
31 Se 0.595 0.310 0.282
32 Br 0.633 0.245 0.022
33 Se 0.095 0.190 0.782
34 Br 0.499 0.303 0.546
35 Br 0.368 0.189 0.752
36 Se 0.377 0.414 0.085
37 Br 0.999 0.197 0.046
38 Br 0.867 0.745 0.478
39 Se 0.405 0.690 0.718
40 Br 0.757 0.104 0.429
41 Br 0.338 0.991 0.344
42 Br 0.953 0.985 0.210
43 Br 0.762 0.748 0.732
44 Br 0.743 0.604 0.071
45 Ir 0.433 0.250 0.145
46 Ir 0.067 0.750 0.355
47 Ir 0.933 0.250 0.645
48 Br 0.662 0.009 0.656
49 Se 0.729 0.828 0.981
50 Se 0.123 0.914 0.415
51 Br 0.047 0.015 0.790
52 Br 0.061 0.403 0.721

Values from the calculation:
- Energy relative to the elements, uncorrected: -0.216 eV per atom
- Total DFT energy (no corrections): -23.79 eV per atom
- Total magnetization: 0.00 μB per atom
- Distance to the lowest polymorph of the same formula: 17 meV per atom

---

The following is a DFT calculation (SCAN) of a PBEsol-optimized structure of TlIrSe2Br.

Cell: 4.826 4.826 5.364 Å, 90.00 90.00 90.00°
Atoms (fractional coordinates):
1 Se 0.000 0.500 0.000
2 Ir 0.000 0.000 0.000
3 Tl 0.500 0.500 0.500
4 Br 0.000 0.000 0.500
5 Se 0.500 0.000 0.000

Values from the calculation:
- Energy relative to the elements, uncorrected: 0.095 eV per atom
- Total DFT energy (no corrections): -40.52 eV per atom
- Total magnetization: 0.00 μB per atom

---

The following is a DFT calculation (SCAN) of a PBEsol-optimized structure of ZnIrSe2Br.

Cell: 4.795 4.795 5.187 Å, 90.00 90.00 90.00°
Atoms (fractional coordinates):
1 Se 0.000 0.500 0.000
2 Se 0.500 0.000 0.000
3 Zn 0.500 0.500 0.500
4 Ir 0.000 0.000 0.000
5 Br 0.000 0.000 0.500

Values from the calculation:
- Energy relative to the elements, uncorrected: 0.503 eV per atom
- Total DFT energy (no corrections): -28.34 eV per atom
- Total magnetization: 0.00 μB per atom
- Distance to the lowest polymorph of the same formula: 0 meV per atom

---

The following is a DFT calculation (SCAN) of a PBEsol-optimized structure of ZnIrSe2Br.

Cell: 4.755 4.755 4.737 Å, 90.00 90.00 90.00°
Atoms (fractional coordinates):
1 Zn 0.000 0.000 0.000
2 Se 0.500 0.000 0.000
3 Br 0.000 0.000 0.500
4 Ir 0.500 0.500 0.500
5 Se 0.000 0.500 0.000

Values from the calculation:
- Energy relative to the elements, uncorrected: 1.207 eV per atom
- Total DFT energy (no corrections): -27.64 eV per atom
- Total magnetization: 0.56 μB per atom
- Distance to the lowest polymorph of the same formula: 704 meV per atom

---

The following is a DFT calculation (SCAN) of a PBEsol-optimized structure of Si2IrBr.

Cell: 2.873 4.589 4.753 Å, 90.00 90.00 90.00°
Atoms (fractional coordinates):
1 Ir 0.000 0.500 0.500
2 Si 0.000 0.000 0.000
3 Br 0.500 0.000 0.500
4 Si 0.500 0.500 0.000

Values from the calculation:
- Energy relative to the elements, uncorrected: 0.931 eV per atom
- Total DFT energy (no corrections): -26.72 eV per atom
- Total magnetization: 0.00 μB per atom
- Distance to the lowest polymorph of the same formula: 1219 meV per atom

---

The following is a DFT calculation (SCAN) of a PBEsol-optimized structure of Si2IrBr.

Cell: 3.672 3.672 4.805 Å, 90.00 90.00 90.00°
Atoms (fractional coordinates):
1 Si 0.500 0.000 0.000
2 Ir 0.000 0.000 0.500
3 Si 0.000 0.500 0.000
4 Br 0.500 0.500 0.500

Values from the calculation:
- Energy relative to the elements, uncorrected: 1.067 eV per atom
- Total DFT energy (no corrections): -26.58 eV per atom
- Total magnetization: 0.00 μB per atom
- Distance to the lowest polymorph of the same formula: 1354 meV per atom

---

no.,DOS at the Fermi energy (states/eV/f.u.)
1,1.979
2,0.000
3,0.000
4,4.689
5,3.806
6,4.915
7,1.840
8,1.948